Here is a relaxed structure of AcPrPdAu from Alexandria. Energies are from GGA-PBE.

abc: 5.353 5.353 5.353
angles: 60.00 60.00 60.00
Atoms (fractional coordinates):
Pr (0.250, 0.250, 0.250)
Ac (0.750, 0.750, 0.750)
Au (0.000, 0.000, 0.000)
Pd (0.500, 0.500, 0.500)

Polymorph energy (0 for the lowest one): 81 meV per atom
Calculated formation energy: -0.704 eV/atom
Total magnetic moment: 0.00 μB per cell
Density: 10.279 g/cm³
Electronic total energy: -5.043 eV/atom

Here is a relaxed structure of BeTlAsF6 from Alexandria. Energies are from GGA-PBE.

abc: 5.215 5.214 6.137
angles: 90.01 90.00 60.02
Atoms (fractional coordinates):
Be (0.667, 0.667, 0.500)
Tl (0.000, 0.000, 0.000)
As (0.333, 0.333, 0.500)
F (0.960, 0.400, 0.330)
F (0.400, 0.960, 0.670)
F (0.640, 0.400, 0.670)
F (0.960, 0.640, 0.670)
F (0.400, 0.640, 0.330)
F (0.640, 0.960, 0.330)

Raw formation energy: -2.27 eV/atom
Total magnetic moment: 0.00 μB per cell
Density: 4.623 g/cm³
Electronic total energy: -4.714 eV/atom

Here is a relaxed structure of Ce3Pr2NdAs6 from Alexandria. Energies are from GGA-PBE.

abc: 7.370 7.370 7.373
angles: 99.59 99.59 120.00
Atoms (fractional coordinates):
Ce (0.167, 0.833, 0.500)
Ce (0.833, 0.167, 0.500)
Ce (0.500, 0.500, 0.500)
Pr (0.333, 0.667, 0.000)
Pr (0.667, 0.333, 0.000)
Nd (0.000, 0.000, 0.000)
As (0.914, 0.582, 0.742)
As (0.754, 0.754, 0.258)
As (0.086, 0.418, 0.258)
As (0.582, 0.914, 0.742)
As (0.246, 0.246, 0.742)
As (0.418, 0.086, 0.258)

Calculated formation energy: -1.472 eV/atom
Total magnetic moment: 1.86 μB per cell
Density: 6.581 g/cm³
Electronic total energy: -6.474 eV/atom

Here is a relaxed structure of Ca2GaF from Alexandria. Energies are from GGA-PBE.

abc: 3.342 3.342 7.633
angles: 90.00 90.00 90.00
Atoms (fractional coordinates):
Ca (0.000, 0.000, 0.759)
Ca (0.000, 0.000, 0.241)
Ga (0.500, 0.500, 0.500)
F (0.500, 0.500, 0.000)

Polymorph energy (0 for the lowest one): 171 meV per atom
Raw formation energy: -1.31 eV/atom
Total magnetic moment: 0.00 μB per cell
Density: 3.290 g/cm³
Electronic total energy: -3.536 eV/atom

Here is a relaxed structure of Na3Ca2OsO6 from Alexandria. Energies are from GGA-PBE.

abc: 5.738 5.738 5.835
angles: 99.48 99.48 120.04
Atoms (fractional coordinates):
Na (0.159, 0.841, 0.500)
Na (0.841, 0.159, 0.500)
Na (0.500, 0.500, 0.500)
Ca (0.333, 0.667, 0.000)
Ca (0.667, 0.333, 0.000)
Os (0.000, 0.000, 0.000)
O (0.930, 0.639, 0.788)
O (0.777, 0.777, 0.205)
O (0.070, 0.361, 0.212)
O (0.639, 0.930, 0.788)
O (0.223, 0.223, 0.795)
O (0.361, 0.070, 0.212)

Raw formation energy: -1.93 eV/atom
Total magnetic moment: 3.00 μB per cell
Density: 4.603 g/cm³
Electronic total energy: -6.009 eV/atom

Here is a relaxed structure of Hf3Zn2Cu4 from Alexandria. Energies are from GGA-PBE.

abc: 4.491 4.492 8.129
angles: 89.99 90.00 120.00
Atoms (fractional coordinates):
Hf (0.333, 0.667, 0.598)
Hf (0.000, 0.000, 0.000)
Hf (0.667, 0.333, 0.402)
Zn (0.333, 0.667, 0.233)
Zn (0.667, 0.333, 0.767)
Cu (0.667, 0.333, 0.075)
Cu (0.000, 0.000, 0.655)
Cu (0.000, 0.000, 0.345)
Cu (0.333, 0.667, 0.925)

Polymorph energy (0 for the lowest one): 55 meV per atom
Calculated formation energy: -0.116 eV/atom
Total magnetic moment: 0.00 μB per cell
Density: 10.763 g/cm³
Electronic total energy: -5.537 eV/atom